Below is a relaxed structure of NdNpCoO6, with properties calculated at the GGA+U level.

Results
DOS(E_F) ... 13.66 states/eV/cell
V ... 248 Å³ per cell
Calculated total energy ... -144.68 eV for the cell shown
Total magnetic moment ... 3.0 μB per formula unit

Unit cell a=5.777 b=5.777 c=8.590 alpha=90.00 beta=90.00 gamma=120.00
Atoms (fractional coordinates):
Co: 0.000 0.000 0.500
O: 0.356 0.310 0.375
O: 0.690 0.644 0.125
O: 0.045 0.356 0.625
Np: 0.667 0.333 0.250
O: 0.356 0.045 0.125
Nd: 0.667 0.333 0.750
O: 0.310 0.955 0.625
O: 0.690 0.045 0.375
O: 0.644 0.955 0.875
O: 0.955 0.310 0.125
O: 0.310 0.356 0.875
O: 0.045 0.690 0.875
O: 0.955 0.644 0.375
Co: 0.000 0.000 0.000
Nd: 0.333 0.667 0.250
O: 0.644 0.690 0.625
Np: 0.333 0.667 0.750